Below is a geometry-optimized Y2NbAu structure, with properties calculated at the PBE level.

Cell: 5.124 5.124 5.124 Å, 60.00 60.00 60.00°
Last column: magnetic moment on the atom in μB.
Positions (direct):
1 Au 0.500 0.500 0.500  -0.01
2 Y 0.250 0.250 0.250  0.12
3 Nb 0.000 0.000 0.000  1.61
4 Y 0.750 0.750 0.750  0.12

Properties
polymorph energy (0 for the lowest one): 0.000 eV/atom
space-group type: No. 225
volume: 23.786 Å³/atom

Below is a geometry-optimized YNb3Au structure, with properties calculated at the PBE level.

Cell: 4.895 4.895 4.895 Å, 90.00 90.00 90.00°
Positions (direct):
1 Nb 0.000 0.500 0.000
2 Nb 0.000 0.000 0.500
3 Y 0.000 0.000 0.000
4 Nb 0.500 0.000 0.000
5 Au 0.500 0.500 0.500

Properties
polymorph energy (0 for the lowest one): 0.832 eV/atom
space-group type: No. 221
volume: 23.455 Å³/atom

Below is a geometry-optimized YNbAu3 structure, with properties calculated at the PBE level.

Cell: 5.079 5.079 5.079 Å, 90.00 90.00 90.00°
Positions (direct):
1 Au 0.000 0.500 0.000
2 Nb 0.000 0.000 0.000
3 Au 0.000 0.000 0.500
4 Y 0.500 0.500 0.500
5 Au 0.500 0.000 0.000

Properties
polymorph energy (0 for the lowest one): 0.000 eV/atom
space-group type: No. 221
volume: 26.197 Å³/atom

Below is a geometry-optimized YNb3Au structure, with properties calculated at the PBE level.

Cell: 5.042 5.042 5.042 Å, 90.00 90.00 90.00°
Positions (direct):
1 Au 0.000 0.000 0.000
2 Y 0.500 0.500 0.500
3 Nb 0.000 0.500 0.000
4 Nb 0.000 0.000 0.500
5 Nb 0.500 0.000 0.000

Properties
polymorph energy (0 for the lowest one): 0.000 eV/atom
space-group type: No. 221
volume: 25.634 Å³/atom

Below is a geometry-optimized Y2NbAu structure, with properties calculated at the PBE level.

Cell: 4.418 4.418 10.571 Å, 77.94 77.94 90.00°
Positions (direct):
1 Au 0.750 0.250 0.500
2 Y 0.627 0.125 0.250
3 Y 0.875 0.877 0.750
4 Y 0.123 0.625 0.250
5 Nb 0.250 0.750 0.500
6 Nb 0.500 0.500 0.000
7 Y 0.375 0.373 0.750
8 Au 0.000 0.000 0.000

Properties
polymorph energy (0 for the lowest one): 0.461 eV/atom
space-group type: No. 122
volume: 24.635 Å³/atom

Below is a geometry-optimized YNb2Au2 structure, with properties calculated at the PBE level.

Cell: 3.841 3.841 7.651 Å, 75.46 75.46 90.00°
Positions (direct):
1 Nb 0.250 0.750 0.500
2 Au 0.597 0.597 0.807
3 Au 0.403 0.403 0.193
4 Y 0.000 0.000 0.000
5 Nb 0.750 0.250 0.500

Properties
space-group type: No. 139
volume: 21.110 Å³/atom

Below is a geometry-optimized YNbAu2 structure, with properties calculated at the PBE level.

Cell: 7.749 7.749 6.243 Å, 51.64 51.64 90.00°
Positions (direct):
1 Y 0.250 0.750 0.500
2 Nb 0.750 0.250 0.500
3 Nb 0.000 0.000 0.000
4 Au 0.657 0.125 0.250
5 Au 0.875 0.907 0.750
6 Au 0.375 0.343 0.750
7 Au 0.093 0.625 0.250
8 Y 0.500 0.500 0.000

Properties
polymorph energy (0 for the lowest one): 0.294 eV/atom
space-group type: No. 122
volume: 22.454 Å³/atom

Below is a geometry-optimized YNbAu3 structure, with properties calculated at the PBE level.

Cell: 5.145 5.145 5.145 Å, 90.00 90.00 90.00°
Positions (direct):
1 Y 0.000 0.000 0.000
2 Nb 0.500 0.500 0.500
3 Au 0.000 0.500 0.000
4 Au 0.500 0.000 0.000
5 Au 0.000 0.000 0.500

Properties
polymorph energy (0 for the lowest one): 0.780 eV/atom
space-group type: No. 221
volume: 27.246 Å³/atom

Below is a geometry-optimized NbZn2Au2 structure, with properties calculated at the PBE level.

Cell: 7.623 7.623 2.862 Å, 90.00 90.00 90.00°
Last column: magnetic moment on the atom in μB.
Positions (direct):
1 Au 0.826 0.326 0.500  0.01
2 Au 0.326 0.174 0.500  0.01
3 Nb 0.500 0.500 0.000  0.27
4 Zn 0.875 0.625 0.000  0.01
5 Zn 0.625 0.125 0.000  0.01
6 Zn 0.125 0.375 0.000  0.01
7 Au 0.674 0.826 0.500  0.01
8 Au 0.174 0.674 0.500  0.01
9 Nb 0.000 0.000 0.000  0.27
10 Zn 0.375 0.875 0.000  0.01

Properties
polymorph energy (0 for the lowest one): 0.000 eV/atom
space-group type: No. 127
volume: 16.636 Å³/atom

Below is a geometry-optimized NbZn3Au structure, with properties calculated at the PBE level.

Cell: 4.743 4.743 4.743 Å, 90.00 90.00 90.00°
Last column: magnetic moment on the atom in μB.
Positions (direct):
1 Au 0.000 0.000 0.000  0.02
2 Nb 0.500 0.500 0.500  1.62
3 Zn 0.000 0.500 0.000  -0.03
4 Zn 0.500 0.000 0.000  -0.01
5 Zn 0.000 0.000 0.500  -0.03

Properties
polymorph energy (0 for the lowest one): 0.000 eV/atom
space-group type: No. 221
volume: 21.333 Å³/atom

Below is a geometry-optimized NbZnAu3 structure, with properties calculated at the PBE level.

Cell: 4.737 4.737 4.737 Å, 90.00 90.00 90.00°
Last column: magnetic moment on the atom in μB.
Positions (direct):
1 Nb 0.500 0.500 0.500  2.06
2 Au 0.500 0.000 0.000  0.01
3 Au 0.000 0.500 0.000  -0.01
4 Zn 0.000 0.000 0.000  -0.04
5 Au 0.000 0.000 0.500  -0.02

Properties
polymorph energy (0 for the lowest one): 0.000 eV/atom
space-group type: No. 221
volume: 21.259 Å³/atom

Below is a geometry-optimized Nb2Zn2Au structure, with properties calculated at the PBE level.

Cell: 6.569 6.569 3.864 Å, 90.00 90.00 90.00°
Positions (direct):
1 Zn 0.632 0.132 0.000
2 Zn 0.132 0.368 0.000
3 Nb 0.665 0.835 0.500
4 Nb 0.835 0.335 0.500
5 Au 0.500 0.500 0.000
6 Zn 0.868 0.632 0.000
7 Nb 0.335 0.165 0.500
8 Au 0.000 0.000 0.000
9 Zn 0.368 0.868 0.000
10 Nb 0.165 0.665 0.500

Properties
space-group type: No. 127
volume: 16.676 Å³/atom

What formation energy values result from the calculations? In sequence: -46, 2004, 337, 1172, 416, -207, 42, 1117, -36, 768, 710, 2 meV/atom.